HoGa3 | PBE-GGA | optimized geometry

It has space group Pm-3m (No. 221), with a = 4.259 Å, b = 4.259 Å, c = 4.259 Å, α = 90.00°, β = 90.00° and γ = 90.00°. The distinct sites, in fractional coordinates, are Ho at (0.000, 0.000, 0.000) and Ga at (0.000, 0.500, 0.500).

The formation energy is -0.532 eV per atom. Its raw total energy is -15.8 eV/cell.